# VPb2BrF, optimized geometry, DFT GGA+U
# V = 26.59 A^3/atom
# DFT total energy = -20.81 eV per formula unit
# DOS(E_F) = 2.863 states/eV per cell
# crystal system = tetragonal
data_VPb2BrF
_space_group_name_H-M_alt 'P 4/m m m'
_space_group_IT_number 123
_space_group_name_Hall '-P 4 2'
_cell_length_a 5.716
_cell_length_b 5.716
_cell_length_c 4.070
_cell_angle_alpha 90.00
_cell_angle_beta 90.00
_cell_angle_gamma 90.00
loop_
_atom_site_label
_atom_site_type_symbol
_atom_site_fract_x
_atom_site_fract_y
_atom_site_fract_z
V1 V 0.000 0.000 0.000
Pb1 Pb 0.000 0.500 0.000
Br1 Br 0.500 0.500 0.500
F1 F 0.000 0.000 0.500